First-principles (meta-GGA SCAN) data for a crystal of La3PbC relaxed with PBEsol, as listed in Alexandria.

Cell lengths 5.167, 5.167, 5.167 Å; angles 90.00, 90.00, 90.00 degrees
Fractional coordinates of all 5 atoms:
La: 0.000 0.000 0.500
La: 0.000 0.500 0.000
La: 0.500 0.000 0.000
Pb: 0.500 0.500 0.500
C: 0.000 0.000 0.000

The value obtained for the total magnetization is 0.00 μB per formula unit. The value obtained for the formation energy is -0.6186 eV per atom. Its space-group type is Pm-3m, No. 221.